CaP2W2O10: PBEsol geometry, SCAN.

Geometry as POSCAR:
```
CaP2W2O10
1.0
-0.1235 6.8554 1.9222
-2.9805 -1.6489 -6.2533
-5.3339 -3.7309 5.7450
Ca P W O
2 4 4 20
Cartesian
-4.9332 -1.3883 -1.3369
0.0000 0.0000 0.0000
-5.6234 1.9365 -0.0491
-7.7478 -1.8492 0.1261
-2.8145 -0.4609 1.4631
-2.1187 -0.9274 -2.8000
-4.0186 1.9091 -2.8340
-5.1953 0.8681 3.1651
-2.5284 2.7335 0.2927
-5.1336 -2.5596 2.2040
-4.6244 3.9147 -2.7256
-5.6904 -0.9319 2.9580
-7.1710 1.5796 3.4995
-6.3682 -2.4257 0.5131
-2.4371 0.6436 0.4517
-3.2197 0.1565 2.8308
-4.7003 2.6680 3.3723
-2.7476 2.4074 -1.5440
-2.3091 3.0596 2.1294
-3.4129 -0.0966 -2.9424
-5.9154 1.0863 1.2068
-4.4753 0.6499 5.1235
-3.8990 -2.6936 3.8949
-6.2927 -3.7845 3.4992
-5.0559 1.0467 -1.1903
-0.4309 2.3845 0.3068
-4.6258 3.0825 0.2785
-2.9813 2.7714 -4.4776
-2.6196 4.8234 0.1336
-3.9745 -1.3347 0.9089
```

Results
**Calculated total energy**: -535.3 eV/cell
**N(E_F)**: 3.37 states/eV/cell
**E_form (uncorrected)**: -35.5 eV/f.u.


Al3WN: PBEsol geometry, SCAN.

Geometry as POSCAR:
```
Al3WN
1.0
3.9814 0.0000 0.0000
0.0000 3.9814 0.0000
0.0000 0.0000 3.9814
Al W N
3 1 1
Cartesian
0.0000 1.9907 0.0000
0.0000 0.0000 1.9907
1.9907 0.0000 0.0000
1.9907 1.9907 1.9907
0.0000 0.0000 0.0000
```

Results
**Calculated total energy**: -102.5 eV/cell
**N(E_F)**: 0.88 states/eV/cell
**E_form (uncorrected)**: -0.3 eV/f.u.
**Energy above the lowest structure with this stoichiometry**: 0 meV/atom


LiSiI2O: PBEsol geometry, SCAN.

Geometry as POSCAR:
```
LiSiI2O
1.0
-2.6807 -2.0147 1.5070
2.0446 -4.3643 -2.1975
2.9932 -0.7642 4.3027
I Si O Li
2 1 1 1
Cartesian
1.4966 -0.3821 2.1513
1.0223 -2.1821 -1.0988
1.1785 -3.5716 1.8061
-1.3404 -1.0073 0.7535
0.0000 0.0000 0.0000
```

Results
**Calculated total energy**: -91.5 eV/cell
**N(E_F)**: 2.64 states/eV/cell
**E_form (uncorrected)**: 0.6 eV/f.u.


CoTeMo2: PBEsol geometry, SCAN.

Geometry as POSCAR:
```
CoTeMo2
1.0
3.2299 0.0000 0.0000
0.0000 3.2299 0.0000
0.0000 0.0000 5.9470
Mo Te Co
2 1 1
Cartesian
0.0000 0.0000 5.7581
1.6150 1.6150 1.4141
0.0000 0.0000 2.9971
1.6150 1.6150 4.6982
```

Results
**Calculated total energy**: -122.8 eV/cell
**N(E_F)**: 3.40 states/eV/cell
**E_form (uncorrected)**: 1.5 eV/f.u.


BeInAs2: PBEsol geometry, SCAN.

Geometry as POSCAR:
```
BeInAs2
1.0
3.8301 0.0000 0.0000
0.0000 3.8301 0.0000
0.0000 0.0000 5.9239
Be As In
1 2 1
Cartesian
1.9151 1.9151 0.0000
1.9151 0.0000 4.7715
0.0000 1.9151 1.1524
0.0000 0.0000 2.9620
```

Results
**Calculated total energy**: -78.6 eV/cell
**N(E_F)**: 1.43 states/eV/cell
**Energy of formation from the pure elements**: -47 kJ/mol of formula units


P2C: PBEsol geometry, SCAN.

Geometry as POSCAR:
```
P2C
1.0
2.4057 0.0000 0.0000
0.0000 3.9765 0.0000
0.0000 -1.9882 3.4437
P C
2 1
Cartesian
1.2029 1.9882 1.1479
1.2029 0.0000 2.2958
0.0000 0.0000 0.0000
```

Results
**Calculated total energy**: -24.8 eV/cell
**N(E_F)**: 1.12 states/eV/cell
**Energy of formation from the pure elements**: 588 kJ/mol of formula units
**Energy above the lowest structure with this stoichiometry**: 1313 meV/atom